Record 1
A plane-wave DFT calculation with PBE was carried out for VGeBiAu2 after structural relaxation.

The structure in CIF format:
```
data_VGeBiAu2
_cell_length_a 4.766
_cell_length_b 4.766
_cell_length_c 5.728
_cell_angle_alpha 90.00
_cell_angle_beta 90.00
_cell_angle_gamma 90.00
_symmetry_space_group_name_H-M 'P 4/m m m'
_symmetry_Int_Tables_number 123
_symmetry_space_group_name_Hall '-P 4 2'
loop_
_atom_site_label
_atom_site_type_symbol
_atom_site_fract_x
_atom_site_fract_y
_atom_site_fract_z
V1 V 0.000 0.000 0.000
Ge1 Ge 0.500 0.500 0.500
Bi1 Bi 0.500 0.500 0.000
Au1 Au 0.000 0.500 0.500
```

Properties
- magnetization (μB per formula unit) = 0.2
- DOS at the Fermi energy (states/eV per atom) = 1.3023
- ΔH_f (0 K) (eV per atom) = 0.986
- volume (Å³/atom) = 26.0

Record 2
A plane-wave DFT calculation with PBE was carried out for YGeBiAu2 after structural relaxation.

The structure in CIF format:
```
data_YGeBiAu2
_cell_length_a 5.345
_cell_length_b 5.345
_cell_length_c 6.001
_cell_angle_alpha 90.00
_cell_angle_beta 90.00
_cell_angle_gamma 90.00
_symmetry_space_group_name_H-M 'P 4/m m m'
_symmetry_Int_Tables_number 123
_symmetry_space_group_name_Hall '-P 4 2'
loop_
_atom_site_label
_atom_site_type_symbol
_atom_site_fract_x
_atom_site_fract_y
_atom_site_fract_z
Y1 Y 0.000 0.000 0.000
Ge1 Ge 0.500 0.500 0.500
Bi1 Bi 0.000 0.000 0.500
Au1 Au 0.000 0.500 0.000
```

Properties
- magnetization (μB per formula unit) = 0.0
- DOS at the Fermi energy (states/eV per atom) = 0.4627
- ΔH_f (0 K) (eV per atom) = 0.579
- volume (Å³/atom) = 34.3

Record 3
A plane-wave DFT calculation with PBE was carried out for Bi2H2Au after structural relaxation.

The structure in CIF format:
```
data_Bi2H2Au
_cell_length_a 7.463
_cell_length_b 7.463
_cell_length_c 4.167
_cell_angle_alpha 90.00
_cell_angle_beta 90.00
_cell_angle_gamma 90.00
_symmetry_space_group_name_H-M 'P 4/m b m'
_symmetry_Int_Tables_number 127
_symmetry_space_group_name_Hall '-P 4 2ab'
loop_
_atom_site_label
_atom_site_type_symbol
_atom_site_fract_x
_atom_site_fract_y
_atom_site_fract_z
Bi1 Bi 0.150 0.350 0.000
H1 H 0.136 0.364 0.500
Au1 Au 0.000 0.000 0.000
```

Properties
- magnetization (μB per formula unit) = 0.0
- DOS at the Fermi energy (states/eV per atom) = 0.2276
- energy relative to the lowest polymorph listed for this composition (meV per atom) = 36
- volume (Å³/atom) = 23.2

Record 4
A plane-wave DFT calculation with PBE was carried out for Bi2H2Au after structural relaxation.

The structure in CIF format:
```
data_Bi2H2Au
_cell_length_a 8.303
_cell_length_b 4.613
_cell_length_c 6.623
_cell_angle_alpha 90.00
_cell_angle_beta 96.19
_cell_angle_gamma 90.00
_symmetry_space_group_name_H-M 'C 1 2/m 1'
_symmetry_Int_Tables_number 12
_symmetry_space_group_name_Hall '-C 2y'
loop_
_atom_site_label
_atom_site_type_symbol
_atom_site_fract_x
_atom_site_fract_y
_atom_site_fract_z
Bi1 Bi 0.090 0.000 0.290
H1 H 0.115 0.000 0.859
Au1 Au 0.000 0.500 0.500
```

Properties
- magnetization (μB per formula unit) = 0.0
- DOS at the Fermi energy (states/eV per atom) = 0.2747
- energy relative to the lowest polymorph listed for this composition (meV per atom) = 0
- volume (Å³/atom) = 25.2

Record 5
A plane-wave DFT calculation with PBE was carried out for Bi2HAu after structural relaxation.

The structure in CIF format:
```
data_Bi2HAu
_cell_length_a 6.973
_cell_length_b 6.973
_cell_length_c 6.973
_cell_angle_alpha 90.00
_cell_angle_beta 90.00
_cell_angle_gamma 90.00
_symmetry_space_group_name_H-M 'F m -3 m'
_symmetry_Int_Tables_number 225
_symmetry_space_group_name_Hall '-F 4 2 3'
loop_
_atom_site_label
_atom_site_type_symbol
_atom_site_fract_x
_atom_site_fract_y
_atom_site_fract_z
Bi1 Bi 0.250 0.250 0.250
H1 H 0.000 0.000 0.000
Au1 Au 0.000 0.000 0.500
```

Properties
- magnetization (μB per formula unit) = 0.0
- DOS at the Fermi energy (states/eV per atom) = 0.0118
- energy relative to the lowest polymorph listed for this composition (meV per atom) = 154
- volume (Å³/atom) = 21.2

Record 6
A plane-wave DFT calculation with PBE was carried out for Bi2H2Au after structural relaxation.

The structure in CIF format:
```
data_Bi2H2Au
_cell_length_a 3.581
_cell_length_b 3.581
_cell_length_c 13.683
_cell_angle_alpha 90.00
_cell_angle_beta 90.00
_cell_angle_gamma 90.00
_symmetry_space_group_name_H-M 'I 4/m m m'
_symmetry_Int_Tables_number 139
_symmetry_space_group_name_Hall '-I 4 2'
loop_
_atom_site_label
_atom_site_type_symbol
_atom_site_fract_x
_atom_site_fract_y
_atom_site_fract_z
Bi1 Bi 0.000 0.000 0.135
H1 H 0.000 0.500 0.250
Au1 Au 0.000 0.000 0.500
```

Properties
- magnetization (μB per formula unit) = 0.0
- DOS at the Fermi energy (states/eV per atom) = 0.3177
- energy relative to the lowest polymorph listed for this composition (meV per atom) = 124
- volume (Å³/atom) = 17.5